[1]
Here is a crystal of CrIr2Ru relaxed with PBEsol from the Alexandria database. Energies are from SCAN.

Properties
- Calculated formation energy: -90.7 kJ/mol of formula units
- ΔE to the lowest computed polymorph: 10 meV per atom
- E_tot: -1.8039 hartree per atom
- M_tot: 1.63 μB per cell

a = 2.6705 Å, b = 4.5899 Å, c = 4.5899 Å
α = 109.22°, β = 90.00°, γ = 90.00°
Each line ends with the local moment (μB).
Positions (direct):
Ru 0.5000 0.0000 0.0000  -0.23
Ir 0.0000 0.5000 0.0000  -0.23
Ir 0.0000 0.0000 0.5000  -0.23
Cr 0.5000 0.5000 0.5000  2.22



[2]
Here is a crystal of CrIrS2 relaxed with PBEsol from the Alexandria database. Energies are from SCAN.

Properties
- E_tot: -0.9876 hartree per atom
- M_tot: 2.83 μB per cell

a = 4.1333 Å, b = 4.1333 Å, c = 4.1333 Å
α = 60.00°, β = 60.00°, γ = 60.00°
Each line ends with the local moment (μB).
Positions (direct):
Cr 0.0000 0.0000 0.0000  2.89
S 0.2500 0.2500 0.2500  -0.09
S 0.7500 0.7500 0.7500  -0.09
Ir 0.5000 0.5000 0.5000  0.03



[3]
Here is a crystal of Cr2SbIr relaxed with PBEsol from the Alexandria database. Energies are from SCAN.

Properties
- E_tot: -1.3318 hartree per atom
- M_tot: 4.67 μB per cell

a = 3.8737 Å, b = 3.8737 Å, c = 4.7115 Å
α = 114.27°, β = 114.27°, γ = 90.00°
Each line ends with the local moment (μB).
Positions (direct):
Cr 0.7500 0.2500 0.5000  2.39
Cr 0.2500 0.7500 0.5000  2.39
Ir 0.0000 0.0000 0.0000  -0.22
Sb 0.5000 0.5000 0.0000  -0.11



[4]
Here is a crystal of CrSbIr4 relaxed with PBEsol from the Alexandria database. Energies are from SCAN.

Properties
- E_tot: -2.0687 hartree per atom
- M_tot: 3.75 μB per cell

a = 5.1924 Å, b = 5.1924 Å, c = 5.1924 Å
α = 60.00°, β = 60.00°, γ = 60.00°
Each line ends with the local moment (μB).
Positions (direct):
Cr 0.0000 0.0000 0.0000  3.60
Ir 0.3746 0.3746 0.3746  -0.04
Ir 0.3746 0.3746 0.8761  -0.04
Ir 0.8761 0.3746 0.3746  -0.04
Ir 0.3746 0.8761 0.3746  -0.04
Sb 0.7500 0.7500 0.7500  0.04



[5]
Here is a crystal of Cr2SbIr relaxed with PBEsol from the Alexandria database. Energies are from SCAN.

Properties
- E_tot: -1.3416 hartree per atom
- M_tot: 0.00 μB per cell

a = 3.9233 Å, b = 3.9233 Å, c = 4.7273 Å
α = 114.52°, β = 114.52°, γ = 90.00°
Each line ends with the local moment (μB).
Positions (direct):
Cr 0.0000 0.0000 0.0000  -3.13
Cr 0.7500 0.2500 0.5000  3.20
Ir 0.5000 0.5000 0.0000  -0.09
Sb 0.2500 0.7500 0.5000  0.01



[6]
Here is a crystal of Cr2SbIr relaxed with PBEsol from the Alexandria database. Energies are from SCAN.

Properties
- E_tot: -1.3359 hartree per atom
- M_tot: 6.10 μB per cell

a = 3.9006 Å, b = 3.9006 Å, c = 3.8877 Å
α = 90.00°, β = 90.00°, γ = 90.00°
Each line ends with the local moment (μB).
Positions (direct):
Cr 0.0000 0.5000 0.0000  2.94
Cr 0.5000 0.0000 0.0000  2.94
Ir 0.5000 0.5000 0.5000  -0.01
Sb 0.0000 0.0000 0.5000  -0.13



[7]
Here is a crystal of CrSbTe2Ir relaxed with PBEsol from the Alexandria database. Energies are from SCAN.

Properties
- E_tot: -1.4379 hartree per atom
- M_tot: 1.13 μB per cell

a = 4.8321 Å, b = 4.8321 Å, c = 4.8308 Å
α = 90.00°, β = 90.00°, γ = 90.00°
Each line ends with the local moment (μB).
Positions (direct):
Sb 0.0000 0.0000 0.5000  -0.05
Ir 0.5000 0.5000 0.5000  -0.51
Te 0.0000 0.5000 0.0000  -0.03
Te 0.5000 0.0000 0.0000  -0.03
Cr 0.0000 0.0000 0.0000  1.69



[8]
Here is a crystal of ScCrIr2 relaxed with PBEsol from the Alexandria database. Energies are from SCAN.

Properties
- Calculated formation energy: -183.9 kJ/mol of formula units
- ΔE to the lowest computed polymorph: 242 meV per atom
- E_tot: -1.6236 hartree per atom
- M_tot: 2.58 μB per cell

a = 2.8154 Å, b = 4.6282 Å, c = 4.8318 Å
α = 100.16°, β = 106.94°, γ = 90.00°
Each line ends with the local moment (μB).
Positions (direct):
Cr 0.7346 0.1995 0.4692  2.70
Ir 0.0017 0.0323 0.0034  -0.20
Ir 0.2583 0.7451 0.5166  -0.17
Sc 0.5054 0.5230 0.0109  0.03